No. 1
VASP calculation (PBEsol) on a geometry-optimized BeP2Ru structure.

The value obtained for the density of states at the Fermi level is 0.502 states/eV per atom. As for the final energy: -6.29 eV/atom. The value obtained for the formation energy is 0.1447 eV/atom. For the density, the calculation gives 5.9 g cm⁻³. The volume comes out at 12.0 Å³ per atom.

It has space group Pmmm (No. 47), with a = 3.200 Å, b = 3.757 Å, c = 4.003 Å, α = 90.00°, β = 90.00° and γ = 90.00°. The distinct sites, in fractional coordinates, are Be at (0.000, 0.000, 0.000), P at (0.500, 0.000, 0.500), P at (0.500, 0.500, 0.000) and Ru at (0.000, 0.500, 0.500).


No. 2
VASP calculation (PBEsol) on a geometry-optimized CoCu2Pt structure.

The value obtained for the density of states at the Fermi level is 1.026 states/eV per atom. As for the final energy: -5.84 eV/atom. The value obtained for the formation energy is 0.0041 eV/atom. For the density, the calculation gives 13.0 g cm⁻³. The volume comes out at 12.1 Å³ per atom.

It has space group C2/m (No. 12), with a = 8.536 Å, b = 2.610 Å, c = 4.432 Å, α = 90.00°, β = 100.57° and γ = 90.00°. The distinct sites, in fractional coordinates, are Co at (0.000, 0.000, 0.000), Cu at (0.246, 0.500, 0.240) and Pt at (0.000, 0.500, 0.500).


No. 3
VASP calculation (PBEsol) on a geometry-optimized ScIn2Au structure.

The value obtained for the density of states at the Fermi level is 0.558 states/eV per atom. As for the final energy: -4.54 eV/atom. The value obtained for the formation energy is -0.4190 eV/atom. For the density, the calculation gives 9.7 g cm⁻³. The volume comes out at 20.3 Å³ per atom.

It has space group I-4m2 (No. 119), with a = 4.335 Å, b = 4.335 Å, c = 8.620 Å, α = 90.00°, β = 90.00° and γ = 90.00°. The distinct sites, in fractional coordinates, are Sc at (0.000, 0.000, 0.000), In at (0.000, 0.000, 0.500), In at (0.000, 0.500, 0.250) and Au at (0.000, 0.500, 0.750).


No. 4
VASP calculation (PBEsol) on a geometry-optimized SmTlCd structure.

The value obtained for the density of states at the Fermi level is 0.806 states/eV per atom. As for the final energy: -3.35 eV/atom. The value obtained for the formation energy is -0.3735 eV/atom. For the density, the calculation gives 10.4 g cm⁻³. The volume comes out at 24.9 Å³ per atom.

It has space group P6_3/mmc (No. 194), with a = 4.9113 Å, b = 4.9113 Å, c = 7.1652 Å, α = 90.00°, β = 90.00° and γ = 120.00°. The distinct sites, in fractional coordinates, are Sm at (0.0000, 0.0000, 0.0000), Tl at (0.3333, 0.6667, 0.2500) and Cd at (0.3333, 0.6667, 0.7500).


No. 5
VASP calculation (PBEsol) on a geometry-optimized CdCuNi2S structure.

The value obtained for the density of states at the Fermi level is 1.322 states/eV per atom. The calculation puts the uncorrected formation energy at 962.3 meV/atom. As for the final energy: -3.48 eV/atom. For the density, the calculation gives 6.3 g cm⁻³. The volume comes out at 17.2 Å³ per atom.

It has space group P4/mmm (No. 123), with a = 4.288 Å, b = 4.288 Å, c = 4.678 Å, α = 90.00°, β = 90.00° and γ = 90.00°. The distinct sites, in fractional coordinates, are Cd at (0.000, 0.000, 0.000), Cu at (0.000, 0.000, 0.500), Ni at (0.000, 0.500, 0.500) and S at (0.500, 0.500, 0.000).


No. 6
VASP calculation (PBEsol) on a geometry-optimized KMnP3HO10 structure.

As for the final energy: -7.30 eV/atom. For the density, the calculation gives 2.6 g cm⁻³. The volume comes out at 13.8 Å³ per atom.

It has space group C2/c (No. 15), with a = 12.036 Å, b = 8.325 Å, c = 9.596 Å, α = 90.00°, β = 113.69° and γ = 90.00°. The distinct sites, in fractional coordinates, are K at (0.000, 0.050, 0.250), Mn at (0.250, 0.250, 0.000), P at (0.000, 0.376, 0.750), P at (0.213, 0.433, 0.300), H at (0.250, 0.250, 0.500), O at (0.075, 0.280, 0.890), O at (0.082, 0.487, 0.697), O at (0.179, 0.291, 0.377), O at (0.212, 0.062, 0.086) and O at (0.229, 0.109, 0.807).


No. 7
VASP calculation (PBEsol) on a geometry-optimized Tc2RuBr structure.

The value obtained for the density of states at the Fermi level is 1.331 states/eV per atom. The calculation puts the uncorrected formation energy at 1129.5 meV/atom. As for the final energy: -7.51 eV/atom. Its energy above the most stable polymorph in this dataset is 0.3988 eV/atom. For the density, the calculation gives 10.6 g cm⁻³. The volume comes out at 14.8 Å³ per atom.

It has space group P4/mmm (No. 123), with a = 3.659 Å, b = 3.659 Å, c = 4.408 Å, α = 90.00°, β = 90.00° and γ = 90.00°. The distinct sites, in fractional coordinates, are Tc at (0.000, 0.500, 0.000), Ru at (0.000, 0.000, 0.500) and Br at (0.500, 0.500, 0.500).


No. 8
VASP calculation (PBEsol) on a geometry-optimized LaYHg2 structure.

The value obtained for the density of states at the Fermi level is 1.122 states/eV per atom. As for the final energy: -3.90 eV/atom. The value obtained for the formation energy is -0.5777 eV/atom. For the density, the calculation gives 10.0 g cm⁻³. The volume comes out at 26.2 Å³ per atom.

It has space group P4/mmm (No. 123), with a = 3.675 Å, b = 3.675 Å, c = 7.760 Å, α = 90.00°, β = 90.00° and γ = 90.00°. The distinct sites, in fractional coordinates, are La at (0.000, 0.000, 0.000), Y at (0.000, 0.000, 0.500) and Hg at (0.500, 0.500, 0.274).


No. 9
VASP calculation (PBEsol) on a geometry-optimized Sr2InSbO6 structure.

The calculation puts the uncorrected formation energy at -2168.1 meV/atom. As for the final energy: -6.44 eV/atom. For the density, the calculation gives 6.2 g cm⁻³. The volume comes out at 13.5 Å³ per atom.

It has space group Fm-3m (No. 225), with a = 8.150 Å, b = 8.150 Å, c = 8.150 Å, α = 90.00°, β = 90.00° and γ = 90.00°. The distinct sites, in fractional coordinates, are Sr at (0.250, 0.250, 0.250), In at (0.000, 0.000, 0.000), Sb at (0.000, 0.000, 0.500) and O at (0.000, 0.000, 0.258).


No. 10
VASP calculation (PBEsol) on a geometry-optimized ZnNiF6 structure.

The calculation puts the uncorrected formation energy at -1765.0 meV/atom. As for the final energy: -4.18 eV/atom. For the density, the calculation gives 4.5 g cm⁻³. The volume comes out at 11.0 Å³ per atom.

It has space group R-3 (No. 148, hexagonal axes), with a = 4.8346 Å, b = 4.8346 Å, c = 13.0641 Å, α = 90.00°, β = 90.00° and γ = 120.00°. The distinct sites, in fractional coordinates, are Zn at (0.0000, 0.0000, 0.0000), Ni at (0.0000, 0.0000, 0.5000) and F at (0.0129, 0.3091, 0.5793).


No. 11
VASP calculation (PBEsol) on a geometry-optimized Ba2LiW structure.

The value obtained for the density of states at the Fermi level is 0.859 states/eV per atom. As for the final energy: -3.85 eV/atom. The value obtained for the formation energy is 1.1675 eV/atom. For the density, the calculation gives 6.8 g cm⁻³. The volume comes out at 28.5 Å³ per atom.

It has space group C2/m (No. 12), with a = 10.226 Å, b = 3.154 Å, c = 7.088 Å, α = 90.00°, β = 94.33° and γ = 90.00°. The distinct sites, in fractional coordinates, are Ba at (0.243, 0.000, 0.237), Li at (0.000, 0.000, 0.500) and W at (0.000, 0.500, 0.000).


No. 12
VASP calculation (PBEsol) on a geometry-optimized NbAs2RuBr structure.

The value obtained for the density of states at the Fermi level is 0.898 states/eV per atom. The calculation puts the uncorrected formation energy at 1098.8 meV/atom. As for the final energy: -5.52 eV/atom. For the density, the calculation gives 5.8 g cm⁻³. The volume comes out at 24.3 Å³ per atom.

It has space group P4/mmm (No. 123), with a = 4.934 Å, b = 4.934 Å, c = 4.991 Å, α = 90.00°, β = 90.00° and γ = 90.00°. The distinct sites, in fractional coordinates, are Nb at (0.000, 0.000, 0.000), As at (0.000, 0.500, 0.000), Ru at (0.500, 0.500, 0.500) and Br at (0.000, 0.000, 0.500).


No. 13
VASP calculation (PBEsol) on a geometry-optimized ZrSeI3 structure.

The calculation puts the uncorrected formation energy at -861.8 meV/atom. As for the final energy: -4.51 eV/atom. For the density, the calculation gives 5.1 g cm⁻³. The volume comes out at 35.9 Å³ per atom.

It has space group C2/c (No. 15), with a = 7.226 Å, b = 14.352 Å, c = 14.079 Å, α = 90.00°, β = 100.20° and γ = 90.00°. The distinct sites, in fractional coordinates, are Zr at (0.087, 0.066, 0.146), Se at (0.151, 0.189, 0.299), I at (0.118, 0.346, 0.913), I at (0.158, 0.102, 0.538) and I at (0.248, 0.450, 0.193).


No. 14
VASP calculation (PBEsol) on a geometry-optimized TaIr2W structure.

The value obtained for the density of states at the Fermi level is 0.776 states/eV per atom. As for the final energy: -11.55 eV/atom. The value obtained for the formation energy is -0.0471 eV/atom. Its energy above the most stable polymorph in this dataset is 0.4004 eV/atom. For the density, the calculation gives 20.2 g cm⁻³. The volume comes out at 15.4 Å³ per atom.

It has space group R3m (No. 160, hexagonal axes), with a = 2.7790 Å, b = 2.7790 Å, c = 27.6902 Å, α = 90.00°, β = 90.00° and γ = 120.00°. The distinct sites, in fractional coordinates, are Ta at (0.0000, 0.0000, 0.0000), Ir at (0.0000, 0.0000, 0.2532), Ir at (0.0000, 0.0000, 0.5017) and W at (0.0000, 0.0000, 0.7579).


No. 15
VASP calculation (PBEsol) on a geometry-optimized Na2CuP2O7 structure.

The calculation puts the uncorrected formation energy at -1976.4 meV/atom. As for the final energy: -6.60 eV/atom. Its energy above the most stable polymorph in this dataset is 0.0000 eV/atom. For the density, the calculation gives 3.1 g cm⁻³. The volume comes out at 12.8 Å³ per atom.

It has space group C2/c (No. 15), with a = 14.623 Å, b = 5.776 Å, c = 7.979 Å, α = 90.00°, β = 114.48° and γ = 90.00°. The distinct sites, in fractional coordinates, are Na at (0.228, 0.140, 0.299), Cu at (0.000, 0.000, 0.000), P at (0.105, 0.340, 0.843), O at (0.000, 0.482, 0.750), O at (0.101, 0.214, 0.010), O at (0.108, 0.169, 0.697) and O at (0.190, 0.487, 0.398).


No. 16
VASP calculation (PBEsol) on a geometry-optimized K2InSb structure.

The value obtained for the density of states at the Fermi level is 0.300 states/eV per atom. The calculation puts the uncorrected formation energy at -296.7 meV/atom. As for the final energy: -2.75 eV/atom. Its energy above the most stable polymorph in this dataset is 0.0041 eV/atom. For the density, the calculation gives 3.7 g cm⁻³. The volume comes out at 35.7 Å³ per atom.

It has space group Imm2 (No. 44), with a = 4.434 Å, b = 5.720 Å, c = 11.263 Å, α = 90.00°, β = 90.00° and γ = 90.00°. The distinct sites, in fractional coordinates, are K at (0.000, 0.000, 0.000), K at (0.000, 0.500, 0.193), In at (0.000, 0.000, 0.423) and Sb at (0.000, 0.500, 0.760).


No. 17
VASP calculation (PBEsol) on a geometry-optimized TiSbS2 structure.

The value obtained for the density of states at the Fermi level is 0.504 states/eV per atom. The calculation puts the uncorrected formation energy at -968.1 meV/atom. As for the final energy: -6.38 eV/atom. For the density, the calculation gives 4.8 g cm⁻³. The volume comes out at 20.1 Å³ per atom.

It has space group R-3m (No. 166, hexagonal axes), with a = 3.3340 Å, b = 3.3340 Å, c = 25.0352 Å, α = 90.00°, β = 90.00° and γ = 120.00°. The distinct sites, in fractional coordinates, are Ti at (0.0000, 0.0000, 0.0000), Sb at (0.0000, 0.0000, 0.5000) and S at (0.0000, 0.0000, 0.3914).


No. 18
VASP calculation (PBEsol) on a geometry-optimized KCa2Au structure.

The value obtained for the density of states at the Fermi level is 0.647 states/eV per atom. As for the final energy: -2.66 eV/atom. The value obtained for the formation energy is -0.3245 eV/atom. Its energy above the most stable polymorph in this dataset is 0.0000 eV/atom. For the density, the calculation gives 3.3 g cm⁻³. The volume comes out at 40.4 Å³ per atom.

It has space group R-3m (No. 166, hexagonal axes), with a = 4.2666 Å, b = 4.2666 Å, c = 30.7135 Å, α = 90.00°, β = 90.00° and γ = 120.00°. The distinct sites, in fractional coordinates, are K at (0.0000, 0.0000, 0.0000), Ca at (0.0000, 0.0000, 0.2174) and Au at (0.0000, 0.0000, 0.5000).


No. 19
VASP calculation (PBEsol) on a geometry-optimized ScAlPb2 structure.

The value obtained for the density of states at the Fermi level is 0.661 states/eV per atom. As for the final energy: -4.78 eV/atom. The value obtained for the formation energy is -0.1075 eV/atom. For the density, the calculation gives 8.6 g cm⁻³. The volume comes out at 23.4 Å³ per atom.

It has space group Cm (No. 8), with a = 11.301 Å, b = 3.405 Å, c = 5.212 Å, α = 90.00°, β = 110.92° and γ = 90.00°. The distinct sites, in fractional coordinates, are Sc at (0.000, 0.000, 0.000), Al at (0.277, 0.000, 0.661), Pb at (0.026, 0.500, 0.512) and Pb at (0.253, 0.500, 0.144).


No. 20
VASP calculation (PBEsol) on a geometry-optimized PdS2Br structure.

The value obtained for the density of states at the Fermi level is 0.370 states/eV per atom. The calculation puts the uncorrected formation energy at -187.2 meV/atom. As for the final energy: -4.34 eV/atom. For the density, the calculation gives 4.9 g cm⁻³. The volume comes out at 21.1 Å³ per atom.

It has space group R-3m (No. 166, hexagonal axes), with a = 3.6748 Å, b = 3.6748 Å, c = 21.6980 Å, α = 90.00°, β = 90.00° and γ = 120.00°. The distinct sites, in fractional coordinates, are Pd at (0.0000, 0.0000, 0.0000), S at (0.0000, 0.0000, 0.3866) and Br at (0.0000, 0.0000, 0.5000).